(1)
# AcVF6 | Alexandria | GGA+U | optimized geometry
data_AcVF6
_symmetry_space_group_name_H-M 'P 1'
_symmetry_Int_Tables_number 1
_cell_length_a 4.781
_cell_length_b 4.781
_cell_length_c 4.894
_cell_angle_alpha 97.40
_cell_angle_beta 97.40
_cell_angle_gamma 98.07
loop_
_symmetry_equiv_pos_as_xyz
'x,y,z'
loop_
_atom_site_label
_atom_site_type_symbol
_atom_site_fract_x
_atom_site_fract_y
_atom_site_fract_z
Ac1 Ac 0.000 0.000 0.000
V1 V 0.500 0.500 0.500
F1 F 0.203 0.566 0.205
F2 F 0.206 0.206 0.571
F3 F 0.434 0.797 0.795
F4 F 0.566 0.203 0.205
F5 F 0.794 0.794 0.429
F6 F 0.797 0.434 0.795
# Density of states at the Fermi level (states/eV per cell): 0.00

(2)
A plane-wave DFT calculation with GGA+U was carried out for AcV2F11 after structural relaxation.

Geometry as CIF:
```
data_AcV2F11
_symmetry_space_group_name_H-M 'P 1'
_symmetry_Int_Tables_number 1
_cell_length_a 8.349
_cell_length_b 8.349
_cell_length_c 8.349
_cell_angle_alpha 124.54
_cell_angle_beta 105.49
_cell_angle_gamma 99.55
loop_
_symmetry_equiv_pos_as_xyz
'x,y,z'
loop_
_atom_site_label
_atom_site_type_symbol
_atom_site_fract_x
_atom_site_fract_y
_atom_site_fract_z
Ac1 Ac 0.250 0.250 0.000
Ac2 Ac 0.750 0.750 0.000
V1 V 0.177 0.615 0.792
V2 V 0.323 0.115 0.438
V3 V 0.677 0.885 0.562
V4 V 0.823 0.385 0.208
F1 F 0.000 0.500 0.500
F2 F 0.033 0.371 0.160
F3 F 0.064 0.985 0.301
F4 F 0.184 0.485 0.920
F5 F 0.208 0.382 0.589
F6 F 0.211 0.873 0.840
F7 F 0.289 0.129 0.662
F8 F 0.292 0.882 0.174
F9 F 0.316 0.236 0.301
F10 F 0.436 0.736 0.920
F11 F 0.467 0.627 0.338
F12 F 0.500 0.000 0.500
F13 F 0.533 0.373 0.662
F14 F 0.564 0.264 0.080
F15 F 0.684 0.764 0.699
F16 F 0.708 0.118 0.826
F17 F 0.711 0.871 0.338
F18 F 0.789 0.127 0.160
F19 F 0.792 0.618 0.411
F20 F 0.816 0.515 0.080
F21 F 0.936 0.015 0.699
F22 F 0.967 0.629 0.840
```

(3)
# AcVF2 | Alexandria | GGA+U | optimized geometry
data_AcVF2
_symmetry_space_group_name_H-M 'P 1'
_symmetry_Int_Tables_number 1
_cell_length_a 7.036
_cell_length_b 7.036
_cell_length_c 7.036
_cell_angle_alpha 30.42
_cell_angle_beta 30.42
_cell_angle_gamma 30.42
loop_
_symmetry_equiv_pos_as_xyz
'x,y,z'
loop_
_atom_site_label
_atom_site_type_symbol
_atom_site_fract_x
_atom_site_fract_y
_atom_site_fract_z
Ac1 Ac 0.000 0.000 0.000
V1 V 0.500 0.500 0.500
F1 F 0.131 0.131 0.131
F2 F 0.869 0.869 0.869
# Density of states at the Fermi level (states/eV per cell): 2.18

(4)
# AcV4F12 | Alexandria | GGA+U | optimized geometry
data_AcV4F12
_symmetry_space_group_name_H-M 'P 1'
_symmetry_Int_Tables_number 1
_cell_length_a 7.078
_cell_length_b 7.078
_cell_length_c 7.078
_cell_angle_alpha 109.47
_cell_angle_beta 109.47
_cell_angle_gamma 109.47
loop_
_symmetry_equiv_pos_as_xyz
'x,y,z'
loop_
_atom_site_label
_atom_site_type_symbol
_atom_site_fract_x
_atom_site_fract_y
_atom_site_fract_z
Ac1 Ac 0.000 0.000 0.000
V1 V 0.000 0.000 0.500
V2 V 0.000 0.500 0.000
V3 V 0.500 0.000 0.000
V4 V 0.500 0.500 0.500
F1 F 0.052 0.796 0.256
F2 F 0.204 0.256 0.460
F3 F 0.204 0.744 0.948
F4 F 0.256 0.052 0.796
F5 F 0.256 0.460 0.204
F6 F 0.460 0.204 0.256
F7 F 0.540 0.796 0.744
F8 F 0.744 0.540 0.796
F9 F 0.744 0.948 0.204
F10 F 0.796 0.256 0.052
F11 F 0.796 0.744 0.540
F12 F 0.948 0.204 0.744
# Density of states at the Fermi level (states/eV per cell): 12.07

(5)
# Ac2VF8 | Alexandria | GGA+U | optimized geometry
data_Ac2VF8
_symmetry_space_group_name_H-M 'P 1'
_symmetry_Int_Tables_number 1
_cell_length_a 4.295
_cell_length_b 6.557
_cell_length_c 7.107
_cell_angle_alpha 68.86
_cell_angle_beta 88.80
_cell_angle_gamma 76.89
loop_
_symmetry_equiv_pos_as_xyz
'x,y,z'
loop_
_atom_site_label
_atom_site_type_symbol
_atom_site_fract_x
_atom_site_fract_y
_atom_site_fract_z
Ac1 Ac 0.000 0.000 0.000
Ac2 Ac 0.381 0.227 0.424
V1 V 0.331 0.546 0.791
F1 F 0.252 0.575 0.087
F2 F 0.277 0.570 0.490
F3 F 0.385 0.872 0.732
F4 F 0.419 0.201 0.844
F5 F 0.507 0.947 0.214
F6 F 0.849 0.472 0.831
F7 F 0.883 0.183 0.615
F8 F 0.903 0.199 0.242
# Density of states at the Fermi level (states/eV per cell): 0.00

Ordered total energy results: -6.353, -5.841, -5.562, -6.351, -6.468; unit eV per atom.
Ordered density results: 5.99, 4.22, 6.63, 4.01, 6.01; unit g/cm3.
Ordered magnetization results: 2.000, 4.000, 2.185, 11.000, 3.000; unit Bohr magnetons per cell.